No. 1
Computed, not measured: a geometry-optimized AlCl structure at the GGA-PBE level of DFT.

Computed properties:
The formation energy (no corrections) comes out at -0.16 eV/atom. The density of states at the Fermi level comes out at 0.0000 states/eV per atom.

Cell lengths 4.7944, 4.7944, 4.7944 Å; angles 60.00, 60.00, 60.00 degrees
Last column: nearest neighbours and their distance in Å.
Atoms (fractional coordinates):
Al  0.0000  0.0000  0.0000  4 Cl 2.94
Cl  0.7500  0.7500  0.7500  4 Al 2.94

No. 2
Computed, not measured: a geometry-optimized TmTh2In3 structure at the GGA-PBE level of DFT.

Computed properties:
The formation energy is -0.278 eV per atom. The density of states at the Fermi level comes out at 0.7586 states/eV per atom. The distance to the lowest polymorph of the same formula comes out at 0 meV/atom.

Cell lengths 8.9188, 8.9188, 3.5118 Å; angles 90.00, 90.00, 142.80 degrees
Last column: nearest neighbours and their distance in Å.
Atoms (fractional coordinates):
Tm  0.0000  0.0000  0.0000  8 In 3.19-3.34, 2 Tm 3.51
Th  0.3277  0.6723  0.0000  8 In 3.35-3.40, 2 Th 3.51
Th  0.6723  0.3277  0.0000  8 In 3.35-3.40, 2 Th 3.51
In  0.1574  0.8426  0.5000  2 Tm 3.19, 6 Th 3.35-3.37, 2 In 3.51
In  0.5000  0.5000  0.5000  4 Tm 3.34, 4 Th 3.40, 2 In 3.51
In  0.8426  0.1574  0.5000  2 Tm 3.19, 6 Th 3.35-3.37, 2 In 3.51

No. 3
Computed, not measured: a geometry-optimized TbPrPuCd structure at the GGA-PBE level of DFT.

Computed properties:
The formation energy is 0.073 eV per atom. The density of states at the Fermi level comes out at 3.9845 states/eV per atom.

Cell lengths 5.4906, 5.4906, 5.4906 Å; angles 60.00, 60.00, 60.00 degrees
Last column: nearest neighbours and their distance in Å.
Atoms (fractional coordinates):
Tb  0.0000  0.0000  0.0000  4 Cd 3.36, 4 Pu 3.36
Pr  0.5000  0.5000  0.5000  4 Cd 3.36, 4 Pu 3.36
Pu  0.7500  0.7500  0.7500  4 Tb 3.36, 4 Pr 3.36
Cd  0.2500  0.2500  0.2500  4 Tb 3.36, 4 Pr 3.36

No. 4
Computed, not measured: a geometry-optimized TaMn2Mo structure at the GGA-PBE level of DFT.

Computed properties:
The formation energy is 0.589 eV per atom. The density of states at the Fermi level comes out at 0.9860 states/eV per atom. The distance to the lowest polymorph of the same formula comes out at 623 meV/atom.

Cell lengths 5.4980, 5.4980, 5.4980 Å; angles 103.59, 103.59, 122.01 degrees
Last column: nearest neighbours and their distance in Å.
Atoms (fractional coordinates):
Ta  0.0000  0.0000  0.0000  4 Mn 2.56, 2 Mo 2.67
Ta  0.7500  0.2500  0.5000  4 Mn 2.56, 2 Mo 2.67
Mn  0.1395  0.6250  0.0145  2 Mo 2.43, 2 Ta 2.56, 2 Mn 2.67
Mn  0.3750  0.3895  0.5145  2 Mo 2.43, 2 Ta 2.56, 2 Mn 2.67
Mn  0.6105  0.1250  0.9855  2 Mo 2.43, 2 Ta 2.56, 2 Mn 2.67
Mn  0.8750  0.8605  0.4855  2 Mo 2.43, 2 Ta 2.56, 2 Mn 2.67
Mo  0.2500  0.7500  0.5000  4 Mn 2.43, 2 Ta 2.67
Mo  0.5000  0.5000  0.0000  4 Mn 2.43, 2 Ta 2.67

No. 5
Computed, not measured: a geometry-optimized Ce6RuPb2 structure at the GGA-PBE level of DFT.

Computed properties:
The formation energy is -0.219 eV per atom. The density of states at the Fermi level comes out at 2.8300 states/eV per atom.

Cell lengths 6.1236, 8.2055, 11.6145 Å; angles 90.00, 116.45, 90.00 degrees
Last column: nearest neighbours and their distance in Å.
Atoms (fractional coordinates):
Ce  0.0290  0.1705  0.4612  2 Ce 2.82-3.01, 1 Ru 3.05
Ce  0.0290  0.3295  0.9612  2 Ce 2.82-3.01, 1 Ru 3.05
Ce  0.3106  0.6822  0.4686  1 Ru 2.81, 1 Ce 2.82
Ce  0.3106  0.8178  0.9686  1 Ru 2.81, 1 Ce 2.82
Ce  0.3620  0.0138  0.2511  1 Ru 2.63
Ce  0.3620  0.4862  0.7511  1 Ru 2.63
Ce  0.6380  0.5138  0.2489  1 Ru 2.63
Ce  0.6380  0.9862  0.7489  1 Ru 2.63
Ce  0.6894  0.1822  0.0314  1 Ru 2.81, 1 Ce 2.82
Ce  0.6894  0.3178  0.5314  1 Ru 2.81, 1 Ce 2.82
Ce  0.9710  0.6705  0.0388  2 Ce 2.82-3.01, 1 Ru 3.05
Ce  0.9710  0.8295  0.5388  2 Ce 2.82-3.01, 1 Ru 3.05
Ru  0.5000  0.0000  0.5000  4 Ce 2.63-2.81
Ru  0.5000  0.5000  0.0000  4 Ce 2.63-2.81
Pb  0.1572  0.1204  0.7633  9 Ce 3.22-3.40
Pb  0.1572  0.3796  0.2633  9 Ce 3.22-3.40
Pb  0.8428  0.6204  0.7367  9 Ce 3.22-3.40
Pb  0.8428  0.8796  0.2367  9 Ce 3.22-3.40

Number 5 is which compound? Ce6RuPb2

Number 1 is which compound? AlCl

Number 3 is which compound? TbPrPuCd